[1]
## Er5TlGe2 (PBE-GGA)

Data for Er5TlGe2 after structural relaxation. Values from VASP.

Cell and atoms, written as Quantum ESPRESSO input:
```
&SYSTEM
  ibrav = 0, nat = 16, ntyp = 3
/
ATOMIC_SPECIES
Ge 72.64 Ge.upf
Tl 204.38 Tl.upf
Er 167.26 Er.upf
CELL_PARAMETERS angstrom
7.0300 0.0000 -3.3185
-1.5665 6.8533 -3.3185
-0.1687 -0.2117 8.7480
ATOMIC_POSITIONS angstrom
Ge 4.3036 0.9892 -2.6173
Tl 4.0133 5.0341 -0.6038
Ge 0.4576 2.4374 -1.6593
Ge 5.0059 4.4158 -4.9778
Er -0.8083 3.3952 4.4993
Er 0.0000 0.0000 0.0000
Er 4.0391 6.6731 -3.4430
Tl 1.2815 1.6075 2.7148
Er 1.2557 -0.0315 5.5539
Er 2.8735 1.9978 -0.1244
Er 6.1031 3.2464 -2.3883
Er 2.4213 4.6438 2.2354
Er 0.8094 5.4245 -1.1791
Ge 1.1599 5.8641 -4.0198
Er 2.7317 3.4266 -3.3185
Er 4.4853 1.2171 3.2901
```

As for the density of states at the Fermi level: 10.78 states/eV per cell. The spin magnetization comes out at 0.3 μB per cell. The calculation puts the mass density at 9.569 g/cm3. The calculation puts the formation energy at -0.63 eV per atom.



[2]
## Er2TlGe (PBE-GGA)

Data for Er2TlGe after structural relaxation. Values from VASP.

Cell and atoms, written as Quantum ESPRESSO input:
```
&SYSTEM
  ibrav = 0, nat = 4, ntyp = 3
/
ATOMIC_SPECIES
Tl 204.38 Tl.upf
Er 167.26 Er.upf
Ge 72.64 Ge.upf
CELL_PARAMETERS angstrom
3.9141 0.0000 0.0000
1.9571 3.3897 0.0000
1.9571 1.1299 8.2033
ATOMIC_POSITIONS angstrom
Tl 3.9141 2.2598 4.1017
Er 1.9571 1.1299 1.7314
Er 5.8712 3.3897 6.4719
Ge 0.0000 0.0000 0.0000
```

As for the density of states at the Fermi level: 3.49 states/eV per cell. The spin magnetization comes out at 0.0 μB per cell. The calculation puts the mass density at 9.330 g/cm3. The calculation puts the formation energy at -0.46 eV per atom.



[3]
## Er2TmGe (PBE-GGA)

Data for Er2TmGe after structural relaxation. Values from VASP.

Cell and atoms, written as Quantum ESPRESSO input:
```
&SYSTEM
  ibrav = 0, nat = 4, ntyp = 3
/
ATOMIC_SPECIES
Er 167.26 Er.upf
Tm 168.93 Tm.upf
Ge 72.64 Ge.upf
CELL_PARAMETERS angstrom
3.5820 0.0000 0.0000
1.7910 3.1021 0.0000
1.7910 1.0340 9.9808
ATOMIC_POSITIONS angstrom
Er 1.7910 1.0340 2.0667
Tm 3.5820 2.0681 4.9904
Ge 0.0000 0.0000 0.0000
Er 5.3730 3.1021 7.9141
```

As for the density of states at the Fermi level: 6.39 states/eV per cell. The spin magnetization comes out at 0.1 μB per cell. The calculation puts the mass density at 8.626 g/cm3. The calculation puts the formation energy at -0.21 eV per atom.



[4]
## Er2Tm2Ge3 (PBE-GGA)

Data for Er2Tm2Ge3 after structural relaxation. Values from VASP.

Cell and atoms, written as Quantum ESPRESSO input:
```
&SYSTEM
  ibrav = 0, nat = 7, ntyp = 3
/
ATOMIC_SPECIES
Er 167.26 Er.upf
Tm 168.93 Tm.upf
Ge 72.64 Ge.upf
CELL_PARAMETERS angstrom
4.5624 -0.0046 0.0010
-2.2753 5.1627 -0.4586
-0.0048 -1.1476 7.9053
ATOMIC_POSITIONS angstrom
Er 2.2782 0.3689 7.0706
Tm 0.0004 0.9301 2.6689
Ge 2.2833 2.6820 1.9603
Ge -0.0010 1.3285 5.4875
Er 0.0041 3.6416 0.3772
Tm 2.2819 3.0804 4.7789
Ge 0.0000 0.0000 0.0000
```

As for the density of states at the Fermi level: 3.00 states/eV per cell. The spin magnetization comes out at 0.0 μB per cell. The calculation puts the mass density at 8.047 g/cm3. The calculation puts the formation energy at -0.61 eV per atom.



[5]
## ErTm2Ge (PBE-GGA)

Data for ErTm2Ge after structural relaxation. Values from VASP.

Cell and atoms, written as Quantum ESPRESSO input:
```
&SYSTEM
  ibrav = 0, nat = 4, ntyp = 3
/
ATOMIC_SPECIES
Tm 168.93 Tm.upf
Ge 72.64 Ge.upf
Er 167.26 Er.upf
CELL_PARAMETERS angstrom
3.5668 0.0000 0.0000
1.7834 3.0890 0.0000
1.7834 1.0297 9.9713
ATOMIC_POSITIONS angstrom
Tm 1.7834 1.0297 2.0632
Tm 5.3502 3.0890 7.9081
Ge 0.0000 0.0000 0.0000
Er 3.5668 2.0593 4.9857
```

As for the density of states at the Fermi level: 5.97 states/eV per cell. The spin magnetization comes out at 0.0 μB per cell. The calculation puts the mass density at 8.733 g/cm3. The calculation puts the formation energy at -0.21 eV per atom.



[6]
## ErTm5Ge4 (PBE-GGA)

Data for ErTm5Ge4 after structural relaxation. Values from VASP.

Cell and atoms, written as Quantum ESPRESSO input:
```
&SYSTEM
  ibrav = 0, nat = 10, ntyp = 3
/
ATOMIC_SPECIES
Ge 72.64 Ge.upf
Er 167.26 Er.upf
Tm 168.93 Tm.upf
CELL_PARAMETERS angstrom
4.8320 0.0000 0.0000
0.0000 6.4563 -2.2126
-2.4160 -3.9349 9.3124
ATOMIC_POSITIONS angstrom
Ge 0.0000 1.6763 -0.3965
Er 2.4160 0.0000 0.0000
Tm 2.4160 1.7212 4.7414
Tm 2.4160 -1.5838 5.8888
Ge 0.0000 3.2283 3.9957
Ge 2.4160 -0.7070 3.1042
Tm 0.0000 4.1051 1.2111
Tm 0.0000 0.8002 2.3585
Tm 2.4160 3.2281 -1.1063
Ge 2.4160 0.8451 7.4964
```

As for the density of states at the Fermi level: 4.73 states/eV per cell. The spin magnetization comes out at 0.0 μB per cell. The calculation puts the mass density at 8.705 g/cm3. The calculation puts the formation energy at -0.62 eV per atom.



[7]
## ErTmGe (PBE-GGA)

Data for ErTmGe after structural relaxation. Values from VASP.

Cell and atoms, written as Quantum ESPRESSO input:
```
&SYSTEM
  ibrav = 0, nat = 12, ntyp = 3
/
ATOMIC_SPECIES
Tm 168.93 Tm.upf
Er 167.26 Er.upf
Ge 72.64 Ge.upf
CELL_PARAMETERS angstrom
-1.3397 -1.9834 -3.5477
5.1610 -2.5334 -0.5325
-4.3232 -10.3686 7.4293
ATOMIC_POSITIONS angstrom
Tm -1.3042 -6.7022 2.9489
Er -1.3462 -9.8969 4.7508
Er -1.4328 -3.6090 1.2681
Er 0.9309 -11.2764 2.0810
Ge 0.9186 -5.4894 1.4315
Tm -1.2528 -13.4199 4.1039
Ge -1.4205 -9.3961 1.9176
Ge 0.9607 -11.7555 4.9187
Ge -1.4626 -3.1300 -1.5696
Tm 0.8023 -8.1833 0.4002
Er 0.8443 -4.9885 -1.4017
Tm 0.7510 -1.4656 -0.7548
```

As for the density of states at the Fermi level: 11.69 states/eV per cell. The spin magnetization comes out at 0.0 μB per cell. The calculation puts the mass density at 8.160 g/cm3. The calculation puts the formation energy at -0.49 eV per atom.



[8]
## ErTmGe (PBE-GGA)

Data for ErTmGe after structural relaxation. Values from VASP.

Cell and atoms, written as Quantum ESPRESSO input:
```
&SYSTEM
  ibrav = 0, nat = 3, ntyp = 3
/
ATOMIC_SPECIES
Ge 72.64 Ge.upf
Er 167.26 Er.upf
Tm 168.93 Tm.upf
CELL_PARAMETERS angstrom
4.8177 0.0000 0.0000
2.4088 4.1722 0.0000
2.4088 1.3907 3.9336
ATOMIC_POSITIONS angstrom
Ge 2.4088 1.3907 0.9834
Er 0.0000 0.0000 0.0000
Tm 4.8177 2.7815 1.9668
```

As for the density of states at the Fermi level: 2.88 states/eV per cell. The spin magnetization comes out at 0.0 μB per cell. The calculation puts the mass density at 8.586 g/cm3. The calculation puts the formation energy at -0.51 eV per atom.



[9]
## ErTm4Ge4 (PBE-GGA)

Data for ErTm4Ge4 after structural relaxation. Values from VASP.

Cell and atoms, written as Quantum ESPRESSO input:
```
&SYSTEM
  ibrav = 0, nat = 18, ntyp = 3
/
ATOMIC_SPECIES
Tm 168.93 Tm.upf
Ge 72.64 Ge.upf
Er 167.26 Er.upf
CELL_PARAMETERS angstrom
5.7320 0.0000 0.0000
0.0000 9.0427 0.0000
0.0000 0.0000 9.0427
ATOMIC_POSITIONS angstrom
Tm 2.2229 6.0381 0.8712
Ge 3.4947 1.9970 5.7218
Tm 3.5091 0.8712 3.0046
Tm 3.5091 8.1715 6.0381
Ge 2.2373 3.3208 1.9970
Tm 0.6431 7.5259 3.6501
Er 2.8660 4.5213 4.5213
Ge 0.6287 1.2005 2.5243
Tm 5.0888 3.6501 1.5168
Er 0.0000 0.0000 0.0000
Tm 2.2229 3.0046 8.1715
Ge 0.6287 7.8422 6.5184
Tm 5.0888 5.3925 7.5259
Ge 5.1033 6.5184 1.2005
Ge 2.2373 5.7218 7.0456
Tm 0.6431 1.5168 5.3925
Ge 5.1033 2.5243 7.8422
Ge 3.4947 7.0456 3.3208
```

As for the density of states at the Fermi level: 16.04 states/eV per cell. The spin magnetization comes out at 0.0 μB per cell. The calculation puts the mass density at 8.032 g/cm3. The calculation puts the formation energy at -0.56 eV per atom.



[10]
## Er2Tm5Ge4 (PBE-GGA)

Data for Er2Tm5Ge4 after structural relaxation. Values from VASP.

Cell and atoms, written as Quantum ESPRESSO input:
```
&SYSTEM
  ibrav = 0, nat = 11, ntyp = 3
/
ATOMIC_SPECIES
Tm 168.93 Tm.upf
Ge 72.64 Ge.upf
Er 167.26 Er.upf
CELL_PARAMETERS angstrom
-2.0873 -3.6842 1.6165
-0.0728 2.3777 5.3251
-9.2558 17.3732 21.2896
ATOMIC_POSITIONS angstrom
Tm -1.0437 -1.8421 0.8083
Tm -4.6555 8.0579 12.3533
Tm -1.6302 3.8668 6.7079
Tm -6.7604 8.0089 15.8779
Ge -4.3795 5.1434 12.4213
Ge -1.2709 2.4897 4.0332
Er -3.9530 3.7779 9.8601
Er -7.4629 12.2889 18.3711
Ge -7.0364 10.9235 15.8099
Ge -10.1450 13.5771 24.1980
Tm -9.7858 12.2000 21.5233
```

As for the density of states at the Fermi level: 8.17 states/eV per cell. The spin magnetization comes out at 0.0 μB per cell. The calculation puts the mass density at 8.222 g/cm3. The calculation puts the formation energy at -0.51 eV per atom.